(1)
VASP calculation (PBE) on an optimized crystal structure of PaNbFe2Ge4.

a = 4.5474 Å, b = 4.5474 Å, c = 7.0997 Å
α = 90.00°, β = 90.00°, γ = 90.00°
Last column: nearest neighbours and their distance in Å.
Fractional coordinates of all 8 atoms:
Pa (0.0000, 0.0000, 0.0000)  8 Ge 2.95
Nb (0.0000, 0.0000, 0.5000)  8 Ge 2.82
Fe (0.5000, 0.5000, 0.3497)  1 Fe 2.13, 4 Ge 2.35
Fe (0.5000, 0.5000, 0.6503)  1 Fe 2.13, 4 Ge 2.35
Ge (0.0000, 0.5000, 0.2650)  2 Fe 2.35
Ge (0.5000, 0.0000, 0.7350)  2 Fe 2.35
Ge (0.5000, 0.0000, 0.2650)  2 Fe 2.35
Ge (0.0000, 0.5000, 0.7350)  2 Fe 2.35

Output
Space group: P4/mmm, No. 123
Spin magnetization, μB per formula unit: 3.591

***

(2)
VASP calculation (PBE) on an optimized crystal structure of Nb2Fe2GeRu5.

a = 3.8367 Å, b = 8.7076 Å, c = 8.7076 Å
α = 90.00°, β = 90.00°, γ = 90.00°
Last column: nearest neighbours and their distance in Å.
Fractional coordinates of all 20 atoms:
Nb (0.0000, 0.6592, 0.1592)  3 Fe 2.53-2.57, 2 Ru 2.74
Nb (0.0000, 0.3408, 0.8408)  3 Fe 2.53-2.57, 2 Ru 2.74
Nb (0.0000, 0.1592, 0.3408)  3 Fe 2.53-2.57, 2 Ru 2.74
Nb (0.0000, 0.8408, 0.6592)  3 Fe 2.53-2.57, 2 Ru 2.74
Fe (0.0000, 0.1352, 0.6352)  6 Ru 2.45-2.54, 3 Nb 2.53-2.57
Fe (0.0000, 0.8648, 0.3648)  6 Ru 2.45-2.54, 3 Nb 2.53-2.57
Fe (0.0000, 0.6352, 0.8648)  6 Ru 2.45-2.54, 3 Nb 2.53-2.57
Fe (0.0000, 0.3648, 0.1352)  6 Ru 2.45-2.54, 3 Nb 2.53-2.57
Ge (0.0000, 0.0000, 0.0000)  8 Ru 2.67
Ge (0.0000, 0.5000, 0.5000)  8 Ru 2.67
Ru (0.5000, 0.1993, 0.0764)  2 Fe 2.45, 3 Ru 2.63-2.70, 2 Ge 2.67
Ru (0.5000, 0.8007, 0.9236)  2 Fe 2.45, 3 Ru 2.63-2.70, 2 Ge 2.67
Ru (0.5000, 0.0764, 0.8007)  2 Fe 2.45, 3 Ru 2.63-2.70, 2 Ge 2.67
Ru (0.5000, 0.6993, 0.4236)  2 Fe 2.45, 3 Ru 2.63-2.70, 2 Ge 2.67
Ru (0.5000, 0.9236, 0.1993)  2 Fe 2.45, 3 Ru 2.63-2.70, 2 Ge 2.67
Ru (0.5000, 0.3007, 0.5764)  2 Fe 2.45, 3 Ru 2.63-2.70, 2 Ge 2.67
Ru (0.5000, 0.5764, 0.6993)  2 Fe 2.45, 3 Ru 2.63-2.70, 2 Ge 2.67
Ru (0.5000, 0.4236, 0.3007)  2 Fe 2.45, 3 Ru 2.63-2.70, 2 Ge 2.67
Ru (0.5000, 0.5000, 0.0000)  4 Fe 2.54, 4 Ru 2.70, 4 Nb 2.74
Ru (0.5000, 0.0000, 0.5000)  4 Fe 2.54, 4 Ru 2.70, 4 Nb 2.74

Output
Space group: P4/mbm, No. 127
Spin magnetization, μB per formula unit: 0.003

***

| no. | total energy (eV per atom) | density of states at the Fermi level (states/eV/atom) |
| --- | --- | --- |
| 1 | -6.879 | 0.61 |
| 2 | -8.834 | 1.01 |